# 1
This record from Alexandria via LeMat-Bulk describes crystalline ScTc3 at its relaxed geometry. The functional is GGA-PBE.

The structure in CIF format:
```
data_ScTc3
_symmetry_space_group_name_H-M 'I 4/m m m'
_symmetry_Int_Tables_number 139
_symmetry_space_group_name_Hall '-I 4 2'
_cell_length_a 3.750
_cell_length_b 3.750
_cell_length_c 18.091
_cell_angle_alpha 90.00
_cell_angle_beta 90.00
_cell_angle_gamma 90.00
loop_
_atom_site_label
_atom_site_type_symbol
_atom_site_fract_x
_atom_site_fract_y
_atom_site_fract_z
Sc1 Sc 0.000 0.000 0.122
Tc1 Tc 0.000 0.000 0.366
Tc2 Tc 0.000 0.500 0.000
Tc3 Tc 0.000 0.500 0.250
```

Output
**Spin magnetization**: 0.00 μB/f.u.
**Formation enthalpy at 0 K**: 154 meV/atom
**Crystal system**: tetragonal
**VASP energy**: -9.203 eV/atom
**Energy above the lowest structure with this stoichiometry**: 261.2 meV/atom

=====

# 2
This record from Alexandria via LeMat-Bulk describes crystalline ScTc5 at its relaxed geometry. The functional is GGA-PBE.

The structure in CIF format:
```
data_ScTc5
_symmetry_space_group_name_H-M 'P 6/m m m'
_symmetry_Int_Tables_number 191
_symmetry_space_group_name_Hall '-P 6 2'
_cell_length_a 5.1087
_cell_length_b 5.1087
_cell_length_c 4.4815
_cell_angle_alpha 90.00
_cell_angle_beta 90.00
_cell_angle_gamma 120.00
loop_
_atom_site_label
_atom_site_type_symbol
_atom_site_fract_x
_atom_site_fract_y
_atom_site_fract_z
Sc1 Sc 0.0000 0.0000 0.0000
Tc1 Tc 0.0000 0.5000 0.5000
Tc2 Tc 0.3333 0.6667 0.0000
```

Output
**Spin magnetization**: 0.00 μB/f.u.
**Formation enthalpy at 0 K**: 136 meV/atom
**Crystal system**: hexagonal
**VASP energy**: -9.557 eV/atom
**Energy above the lowest structure with this stoichiometry**: 109.9 meV/atom

=====

# 3
This record from Alexandria via LeMat-Bulk describes crystalline ScTc at its relaxed geometry. The functional is GGA-PBE.

The structure in CIF format:
```
data_ScTc
_symmetry_space_group_name_H-M 'P m -3 n'
_symmetry_Int_Tables_number 223
_symmetry_space_group_name_Hall '-P 4n 2 3'
_cell_length_a 7.283
_cell_length_b 7.283
_cell_length_c 7.283
_cell_angle_alpha 90.00
_cell_angle_beta 90.00
_cell_angle_gamma 90.00
loop_
_atom_site_label
_atom_site_type_symbol
_atom_site_fract_x
_atom_site_fract_y
_atom_site_fract_z
Sc1 Sc 0.000 0.250 0.500
Tc1 Tc 0.000 0.500 0.250
```

Output
**Spin magnetization**: 1.69 μB/f.u.
**Formation enthalpy at 0 K**: 2004 meV/atom
**Crystal system**: cubic
**VASP energy**: -6.345 eV/atom

=====

# 4
This record from Alexandria via LeMat-Bulk describes crystalline ScTc at its relaxed geometry. The functional is GGA-PBE.

The structure in CIF format:
```
data_ScTc
_symmetry_space_group_name_H-M 'P m n 21'
_symmetry_Int_Tables_number 31
_cell_length_a 8.560
_cell_length_b 4.649
_cell_length_c 5.360
_cell_angle_alpha 90.00
_cell_angle_beta 90.00
_cell_angle_gamma 90.00
loop_
_symmetry_equiv_pos_as_xyz
'x,y,z'
'-x+1/2,-y,z+1/2'
'-x,y,z'
'x+1/2,-y,z+1/2'
loop_
_atom_site_label
_atom_site_type_symbol
_atom_site_fract_x
_atom_site_fract_y
_atom_site_fract_z
Sc1 Sc 0.000 0.248 0.000
Sc2 Sc 0.180 0.744 0.769
Tc1 Tc 0.000 0.250 0.497
Tc2 Tc 0.148 0.756 0.287
```

Output
**Spin magnetization**: 0.00 μB/f.u.
**Formation enthalpy at 0 K**: 55 meV/atom
**Crystal system**: orthorhombic
**VASP energy**: -8.294 eV/atom

=====

# 5
This record from Alexandria via LeMat-Bulk describes crystalline ScTc at its relaxed geometry. The functional is GGA-PBE.

The structure in CIF format:
```
data_ScTc
_symmetry_space_group_name_H-M 'F d d d'
_symmetry_Int_Tables_number 70
_cell_length_a 5.114
_cell_length_b 8.586
_cell_length_c 13.810
_cell_angle_alpha 90.00
_cell_angle_beta 90.00
_cell_angle_gamma 90.00
loop_
_symmetry_equiv_pos_as_xyz
'x,y,z'
'-x,-y,-z'
'-x+1/4,-y+1/4,z'
'x+1/4,y+1/4,-z'
'x,-y+1/4,-z+1/4'
'-x,y+1/4,z+1/4'
'-x+1/4,y,-z+1/4'
'x+1/4,-y,z+1/4'
'x,y+1/2,z+1/2'
'-x,-y+1/2,-z+1/2'
'-x+1/4,-y+3/4,z+1/2'
'x+1/4,y+3/4,-z+1/2'
'x,-y+3/4,-z+3/4'
'-x,y+3/4,z+3/4'
'-x+1/4,y+1/2,-z+3/4'
'x+1/4,-y+1/2,z+3/4'
'x+1/2,y,z+1/2'
'-x+1/2,-y,-z+1/2'
'-x+3/4,-y+1/4,z+1/2'
'x+3/4,y+1/4,-z+1/2'
'x+1/2,-y+1/4,-z+3/4'
'-x+1/2,y+1/4,z+3/4'
'-x+3/4,y,-z+3/4'
'x+3/4,-y,z+3/4'
'x+1/2,y+1/2,z'
'-x+1/2,-y+1/2,-z'
'-x+3/4,-y+3/4,z'
'x+3/4,y+3/4,-z'
'x+1/2,-y+3/4,-z+1/4'
'-x+1/2,y+3/4,z+1/4'
'-x+3/4,y+1/2,-z+1/4'
'x+3/4,-y+1/2,z+1/4'
loop_
_atom_site_label
_atom_site_type_symbol
_atom_site_fract_x
_atom_site_fract_y
_atom_site_fract_z
Sc1 Sc 0.125 0.290 0.125
Tc1 Tc 0.125 0.125 0.540
```

Output
**Spin magnetization**: 0.00 μB/f.u.
**Formation enthalpy at 0 K**: 72 meV/atom
**Crystal system**: orthorhombic
**VASP energy**: -8.276 eV/atom

=====

# 6
This record from Alexandria via LeMat-Bulk describes crystalline ScTc3 at its relaxed geometry. The functional is GGA-PBE.

The structure in CIF format:
```
data_ScTc3
_symmetry_space_group_name_H-M 'P 1 2/m 1'
_symmetry_Int_Tables_number 10
_cell_length_a 2.819
_cell_length_b 4.397
_cell_length_c 5.125
_cell_angle_alpha 90.00
_cell_angle_beta 100.70
_cell_angle_gamma 90.00
loop_
_symmetry_equiv_pos_as_xyz
'x,y,z'
'-x,-y,-z'
'-x,y,-z'
'x,-y,z'
loop_
_atom_site_label
_atom_site_type_symbol
_atom_site_fract_x
_atom_site_fract_y
_atom_site_fract_z
Sc1 Sc 0.000 0.000 0.000
Tc1 Tc 0.264 0.500 0.749
Tc2 Tc 0.500 0.000 0.500
```

Output
**Spin magnetization**: 0.00 μB/f.u.
**Formation enthalpy at 0 K**: -20 meV/atom
**Crystal system**: monoclinic
**VASP energy**: -9.378 eV/atom
**Energy above the lowest structure with this stoichiometry**: 86.5 meV/atom

=====

# 7
This record from Alexandria via LeMat-Bulk describes crystalline Sc4Tc5 at its relaxed geometry. The functional is GGA-PBE.

The structure in CIF format:
```
data_Sc4Tc5
_symmetry_space_group_name_H-M 'I 4/m m m'
_symmetry_Int_Tables_number 139
_symmetry_space_group_name_Hall '-I 4 2'
_cell_length_a 9.842
_cell_length_b 9.842
_cell_length_c 3.198
_cell_angle_alpha 90.00
_cell_angle_beta 90.00
_cell_angle_gamma 90.00
loop_
_atom_site_label
_atom_site_type_symbol
_atom_site_fract_x
_atom_site_fract_y
_atom_site_fract_z
Sc1 Sc 0.000 0.306 0.000
Tc1 Tc 0.000 0.000 0.000
Tc2 Tc 0.166 0.166 0.500
```

Output
**Spin magnetization**: 0.00 μB/f.u.
**Formation enthalpy at 0 K**: -71 meV/atom
**Crystal system**: tetragonal
**VASP energy**: -8.644 eV/atom
**Energy above the lowest structure with this stoichiometry**: 0.0 meV/atom

=====

# 8
This record from Alexandria via LeMat-Bulk describes crystalline ScTc3 at its relaxed geometry. The functional is GGA-PBE.

The structure in CIF format:
```
data_ScTc3
_symmetry_space_group_name_H-M 'P m -3 n'
_symmetry_Int_Tables_number 223
_symmetry_space_group_name_Hall '-P 4n 2 3'
_cell_length_a 5.031
_cell_length_b 5.031
_cell_length_c 5.031
_cell_angle_alpha 90.00
_cell_angle_beta 90.00
_cell_angle_gamma 90.00
loop_
_atom_site_label
_atom_site_type_symbol
_atom_site_fract_x
_atom_site_fract_y
_atom_site_fract_z
Sc1 Sc 0.000 0.000 0.000
Tc1 Tc 0.000 0.250 0.500
```

Output
**Spin magnetization**: 0.00 μB/f.u.
**Formation enthalpy at 0 K**: 104 meV/atom
**Crystal system**: cubic
**VASP energy**: -9.253 eV/atom
**Energy above the lowest structure with this stoichiometry**: 210.8 meV/atom